Entry from Alexandria via LeMat-Bulk: an optimized crystal structure of Ba4Na3N (GGA-PBE).

Calculated values
ΔE to the lowest computed polymorph, kJ/mol of formula units: 0
Crystal system: orthorhombic
Formation energy from raw total energies, eV per atom: -0.14

abc: 11.2020 12.8094 11.1984
angles: 90.00 90.00 90.00
Space group Pnma (No. 62)
Symmetry-distinct sites (fractional):
Ba1 0.0152 0.2500 0.0324 (multiplicity 4)
Ba2 0.1864 0.7500 0.2701 (multiplicity 4)
Ba3 0.1928 0.0888 0.4823 (multiplicity 8)
Na1 0.0237 0.0131 0.7977 (multiplicity 8)
Na2 0.1345 0.7500 0.6478 (multiplicity 4)
N1 0.1954 0.7500 0.0452 (multiplicity 4)

Entry from Alexandria via LeMat-Bulk: an optimized crystal structure of HgPbS3 (GGA-PBE).

Calculated values
ΔE to the lowest computed polymorph, kJ/mol of formula units: 122
Crystal system: cubic
Formation energy from raw total energies, eV per atom: 0.63

abc: 5.2143 5.2143 5.2143
angles: 90.00 90.00 90.00
Space group Pm-3m (No. 221)
Symmetry-distinct sites (fractional):
Hg1 0.0000 0.0000 0.0000 (multiplicity 1)
Pb1 0.5000 0.5000 0.5000 (multiplicity 1)
S1 0.0000 0.5000 0.5000 (multiplicity 3)

Entry from Alexandria via LeMat-Bulk: an optimized crystal structure of HfTi2Pt6 (GGA-PBE).

Calculated values
Crystal system: orthorhombic
Energy of formation from the pure elements, eV per atom: -0.732

abc: 3.8229 12.0672 6.6561
angles: 90.00 90.00 90.00
Space group Amm2 (No. 38)
Symmetry-distinct sites (fractional):
Hf1 0.0000 0.0000 0.0000 (multiplicity 2)
Ti1 0.5000 0.1411 0.6585 (multiplicity 4)
Pt1 0.0000 0.0000 0.5989 (multiplicity 2)
Pt2 0.0000 0.1905 0.3434 (multiplicity 4)
Pt3 0.5000 0.0000 0.3108 (multiplicity 2)
Pt4 0.5000 0.1633 0.0306 (multiplicity 4)

Entry from Alexandria via LeMat-Bulk: an optimized crystal structure of Pr6Ho5Cd (GGA-PBE).

Calculated values
Crystal system: orthorhombic
Energy of formation from the pure elements, eV per atom: -0.012

abc: 5.1391 9.8819 15.4515
angles: 90.00 90.00 90.00
Space group Immm (No. 71)
Symmetry-distinct sites (fractional):
Pr1 0.0000 0.2430 0.0000 (multiplicity 4)
Pr2 0.0000 0.2553 0.3344 (multiplicity 8)
Ho1 0.0000 0.0000 0.1717 (multiplicity 4)
Ho2 0.0000 0.0000 0.5000 (multiplicity 2)
Ho3 0.0000 0.5000 0.1631 (multiplicity 4)
Cd1 0.0000 0.5000 0.5000 (multiplicity 2)

Entry from Alexandria via LeMat-Bulk: an optimized crystal structure of TmNi2Ir (GGA-PBE).

Calculated values
Crystal system: trigonal
Energy of formation from the pure elements, eV per atom: -0.405

abc: 4.1827 4.1827 13.1585
angles: 90.00 90.00 120.00
Space group R-3m (No. 166, hexagonal axes)
Symmetry-distinct sites (fractional):
Tm1 0.0000 0.0000 0.0000 (multiplicity 3)
Ni1 0.0000 0.0000 0.1989 (multiplicity 6)
Ir1 0.0000 0.0000 0.5000 (multiplicity 3)

Entry from Alexandria via LeMat-Bulk: an optimized crystal structure of Hf4SbP (GGA-PBE).

Calculated values
Crystal system: monoclinic
Formation energy from raw total energies, eV per atom: -0.31

abc: 7.5248 5.8059 6.4819
angles: 90.00 103.83 90.00
Space group P2_1/c (No. 14)
Symmetry-distinct sites (fractional):
Hf1 0.1792 0.2162 0.3238 (multiplicity 4)
Hf2 0.2458 0.7053 0.1269 (multiplicity 4)
Sb1 0.5000 0.0000 0.0000 (multiplicity 2)
P1 0.0000 0.0000 0.0000 (multiplicity 2)

Entry from Alexandria via LeMat-Bulk: an optimized crystal structure of BeRuPb2 (GGA-PBE).

Calculated values
ΔE to the lowest computed polymorph, kJ/mol of formula units: 204
Crystal system: orthorhombic
Energy of formation from the pure elements, eV per atom: 0.697

abc: 3.3833 4.4904 5.1699
angles: 90.00 90.00 90.00
Space group Pmmm (No. 47)
Symmetry-distinct sites (fractional):
Be1 0.0000 0.0000 0.0000 (multiplicity 1)
Ru1 0.0000 0.5000 0.5000 (multiplicity 1)
Pb1 0.5000 0.0000 0.5000 (multiplicity 1)
Pb2 0.5000 0.5000 0.0000 (multiplicity 1)

Entry from Alexandria via LeMat-Bulk: an optimized crystal structure of Na2Ga3Au2 (GGA-PBE).

Calculated values
Crystal system: monoclinic
Energy of formation from the pure elements, eV per atom: -0.298

abc: 10.4515 4.4637 6.8117
angles: 90.00 115.32 90.00
Space group C2/m (No. 12)
Symmetry-distinct sites (fractional):
Na1 0.1602 0.0000 0.2831 (multiplicity 4)
Ga1 0.0000 0.5000 0.5000 (multiplicity 2)
Ga2 0.1225 0.5000 0.9523 (multiplicity 4)
Au1 0.1238 0.0000 0.7220 (multiplicity 4)

Entry from Alexandria via LeMat-Bulk: an optimized crystal structure of Y2ZnBIr (GGA-PBE).

Calculated values
Crystal system: tetragonal
Energy of formation from the pure elements, eV per atom: -0.490

abc: 5.0607 5.0607 3.9743
angles: 90.00 90.00 90.00
Space group P4/mmm (No. 123)
Symmetry-distinct sites (fractional):
Y1 0.0000 0.5000 0.0000 (multiplicity 2)
Zn1 0.0000 0.0000 0.5000 (multiplicity 1)
B1 0.5000 0.5000 0.0000 (multiplicity 1)
Ir1 0.5000 0.5000 0.5000 (multiplicity 1)

Entry from Alexandria via LeMat-Bulk: an optimized crystal structure of Mg2Fe2Rh3 (GGA-PBE).

Calculated values
Crystal system: orthorhombic
Energy of formation from the pure elements, eV per atom: -0.152

abc: 3.7116 19.0745 2.8724
angles: 90.00 90.00 90.00
Space group Cmmm (No. 65)
Symmetry-distinct sites (fractional):
Mg1 0.0000 0.0738 0.0000 (multiplicity 4)
Fe1 0.0000 0.2134 0.0000 (multiplicity 4)
Rh1 0.0000 0.3411 0.5000 (multiplicity 4)
Rh2 0.0000 0.5000 0.5000 (multiplicity 2)

Entry from Alexandria via LeMat-Bulk: an optimized crystal structure of KPuTl2O6 (GGA-PBE).

Calculated values
Crystal system: triclinic
Formation energy from raw total energies, eV per atom: -1.55

abc: 5.7965 6.1142 6.9971
angles: 95.52 110.77 117.54
Space group P1 (No. 1)
Symmetry-distinct sites (fractional):
K1 0.0000 0.0000 0.0000 (multiplicity 1)
Pu1 0.9628 0.5076 0.4203 (multiplicity 1)
Tl1 0.5344 0.2894 0.7801 (multiplicity 1)
Tl2 0.6285 0.8699 0.3902 (multiplicity 1)
O1 0.0569 0.4281 0.2031 (multiplicity 1)
O2 0.0755 0.2838 0.5839 (multiplicity 1)
O3 0.4237 0.8448 0.5904 (multiplicity 1)
O4 0.5526 0.1724 0.2571 (multiplicity 1)
O5 0.7929 0.7143 0.2350 (multiplicity 1)
O6 0.8900 0.6251 0.6401 (multiplicity 1)

Entry from Alexandria via LeMat-Bulk: an optimized crystal structure of Be2TcPb (GGA-PBE).

Calculated values
Crystal system: tetragonal
Energy of formation from the pure elements, eV per atom: 0.466

abc: 3.1881 3.1881 5.8394
angles: 90.00 90.00 90.00
Space group P4mm (No. 99)
Symmetry-distinct sites (fractional):
Be1 0.0000 0.0000 0.0000 (multiplicity 1)
Be2 0.5000 0.5000 0.1938 (multiplicity 1)
Tc1 0.5000 0.5000 0.8218 (multiplicity 1)
Pb1 0.0000 0.0000 0.5021 (multiplicity 1)

Number 1: energy -2.6377 eV per atom. Number 2: energy -2.6533 eV per atom. Number 3: energy -7.6193 eV per atom. Number 4: energy -4.3858 eV per atom. Number 5: energy -6.6292 eV per atom. Number 6: energy -8.5346 eV per atom. Number 7: energy -4.4075 eV per atom. Number 8: energy -2.9089 eV per atom. Number 9: energy -6.4384 eV per atom. Number 10: energy -6.1762 eV per atom. Number 11: energy -6.5389 eV per atom. Number 12: energy -4.9160 eV per atom.